(1)
Computed, not measured: crystalline NaIN2F at its relaxed geometry at the GGA-PBE level of DFT.

Summary:
mass density	4.10	g cm⁻³
polymorph energy (0 for the lowest one)	0	meV/atom
magnetic moment	0.000	μB per atom
formation energy (no corrections)	60.15	kJ per mole of atoms

a = 4.0488 Å, b = 4.0488 Å, c = 4.8674 Å
α = 90.00°, β = 90.00°, γ = 90.00°
Closest atoms and distances in Å follow each position.
Space group P4/mmm (No. 123)
Symmetry-distinct sites (fractional):
Na (0.0000, 0.0000, 0.0000) [1 per cell]  4 F 2.86, 8 N 3.17
I (0.5000, 0.5000, 0.5000) [1 per cell]  4 N 2.02
N (0.0000, 0.5000, 0.5000) [2 per cell]  2 I 2.02
F (0.5000, 0.5000, 0.0000) [1 per cell]  2 I 2.43

---

(2)
Computed, not measured: crystalline NaINF2 at its relaxed geometry at the GGA-PBE level of DFT.

Summary:
mass density	3.52	g cm⁻³
polymorph energy (0 for the lowest one)	0	meV/atom
magnetic moment	0.000	μB per atom
formation energy (no corrections)	-43.94	kJ per mole of atoms

a = 4.8683 Å, b = 4.8683 Å, c = 4.0202 Å
α = 90.00°, β = 90.00°, γ = 90.00°
Closest atoms and distances in Å follow each position.
Space group P4/mmm (No. 123)
Symmetry-distinct sites (fractional):
Na (0.0000, 0.0000, 0.0000) [1 per cell]  8 F 3.16, 4 N 3.44
I (0.5000, 0.5000, 0.5000) [1 per cell]  2 N 2.01
N (0.5000, 0.5000, 0.0000) [1 per cell]  2 I 2.01
F (0.0000, 0.5000, 0.5000) [2 per cell]  2 I 2.43

---

(3)
Computed, not measured: crystalline NaINF2 at its relaxed geometry at the GGA-PBE level of DFT.

Summary:
mass density	4.18	g cm⁻³
polymorph energy (0 for the lowest one)	473	meV/atom
magnetic moment	0.506	μB per atom
formation energy (no corrections)	1.74	kJ per mole of atoms

a = 4.0946 Å, b = 4.0946 Å, c = 4.7784 Å
α = 90.00°, β = 90.00°, γ = 90.00°
Closest atoms and distances in Å follow each position.
Space group P4/mmm (No. 123)
Symmetry-distinct sites (fractional):
Na (0.0000, 0.0000, 0.0000) [1 per cell]  4 F 2.05
I (0.5000, 0.5000, 0.5000) [1 per cell]  4 N 2.90, 8 F 3.15
N (0.0000, 0.0000, 0.5000) [1 per cell]  2 Na 2.39
F (0.0000, 0.5000, 0.0000) [2 per cell]  2 Na 2.05

---

(4)
Computed, not measured: crystalline NaIN2F at its relaxed geometry at the GGA-PBE level of DFT.

Summary:
mass density	3.21	g cm⁻³
polymorph energy (0 for the lowest one)	661	meV/atom
magnetic moment	1.000	μB per atom
formation energy (no corrections)	123.95	kJ per mole of atoms

a = 5.0119 Å, b = 5.0119 Å, c = 4.0608 Å
α = 90.00°, β = 90.00°, γ = 90.00°
Closest atoms and distances in Å follow each position.
Space group P4/mmm (No. 123)
Symmetry-distinct sites (fractional):
Na (0.0000, 0.0000, 0.0000) [1 per cell]  2 F 2.03
I (0.5000, 0.5000, 0.5000) [1 per cell]  8 N 3.23, 4 F 3.54
N (0.0000, 0.5000, 0.0000) [2 per cell]  2 Na 2.51
F (0.0000, 0.0000, 0.5000) [1 per cell]  2 Na 2.03

---

(5)
Computed, not measured: crystalline NaI2NF at its relaxed geometry at the GGA-PBE level of DFT.

Summary:
mass density	3.08	g cm⁻³
polymorph energy (0 for the lowest one)	255	meV/atom
magnetic moment	1.004	μB per atom
formation energy (no corrections)	77.17	kJ per mole of atoms

a = 5.9382 Å, b = 5.9382 Å, c = 4.7324 Å
α = 90.00°, β = 90.00°, γ = 90.00°
Closest atoms and distances in Å follow each position.
Space group P4/mmm (No. 123)
Symmetry-distinct sites (fractional):
Na (0.0000, 0.0000, 0.0000) [1 per cell]  2 N 2.37
I (0.0000, 0.5000, 0.0000) [2 per cell]  2 Na 2.97
N (0.0000, 0.0000, 0.5000) [1 per cell]  2 Na 2.37
F (0.5000, 0.5000, 0.5000) [1 per cell]  8 I 3.80, 4 N 4.20

---

(6)
Computed, not measured: crystalline NaIN2F at its relaxed geometry at the GGA-PBE level of DFT.

Summary:
mass density	2.47	g cm⁻³
polymorph energy (0 for the lowest one)	1022	meV/atom
magnetic moment	0.897	μB per atom
formation energy (no corrections)	158.79	kJ per mole of atoms

a = 4.6783 Å, b = 4.6783 Å, c = 6.0565 Å
α = 90.00°, β = 90.00°, γ = 90.00°
Closest atoms and distances in Å follow each position.
Space group P4/mmm (No. 123)
Symmetry-distinct sites (fractional):
Na (0.0000, 0.0000, 0.0000) [1 per cell]  4 N 2.34
I (0.0000, 0.0000, 0.5000) [1 per cell]  2 Na 3.03, 4 F 3.31
N (0.0000, 0.5000, 0.0000) [2 per cell]  2 Na 2.34
F (0.5000, 0.5000, 0.5000) [1 per cell]  4 I 3.31

---

(7)
Computed, not measured: crystalline NaI2NF at its relaxed geometry at the GGA-PBE level of DFT.

Summary:
mass density	3.88	g cm⁻³
polymorph energy (0 for the lowest one)	0	meV/atom
magnetic moment	0.335	μB per atom
formation energy (no corrections)	52.59	kJ per mole of atoms

a = 5.5335 Å, b = 5.5335 Å, c = 4.3289 Å
α = 90.00°, β = 90.00°, γ = 90.00°
Closest atoms and distances in Å follow each position.
Space group P4/mmm (No. 123)
Symmetry-distinct sites (fractional):
Na (0.0000, 0.0000, 0.0000) [1 per cell]  8 I 3.51, 4 N 3.91
I (0.0000, 0.5000, 0.5000) [2 per cell]  2 F 2.77
N (0.5000, 0.5000, 0.0000) [1 per cell]  2 F 2.16
F (0.5000, 0.5000, 0.5000) [1 per cell]  2 N 2.16

---

(8)
Computed, not measured: crystalline NaIN2F at its relaxed geometry at the GGA-PBE level of DFT.

Summary:
mass density	2.78	g cm⁻³
polymorph energy (0 for the lowest one)	794	meV/atom
magnetic moment	1.066	μB per atom
formation energy (no corrections)	136.79	kJ per mole of atoms

a = 5.0707 Å, b = 5.0707 Å, c = 4.5699 Å
α = 90.00°, β = 90.00°, γ = 90.00°
Closest atoms and distances in Å follow each position.
Space group P4/mmm (No. 123)
Symmetry-distinct sites (fractional):
Na (0.0000, 0.0000, 0.0000) [1 per cell]  8 N 3.41, 4 I 3.59
I (0.5000, 0.5000, 0.0000) [1 per cell]  2 F 2.28
N (0.0000, 0.5000, 0.5000) [2 per cell]  2 F 2.54
F (0.5000, 0.5000, 0.5000) [1 per cell]  2 I 2.28, 4 N 2.54

---

(9)
Computed, not measured: crystalline NbI2NF at its relaxed geometry at the GGA-PBE level of DFT.

Summary:
mass density	5.18	g cm⁻³
polymorph energy (0 for the lowest one)	0	meV/atom
magnetic moment	0.000	μB per atom
formation energy (no corrections)	-9.12	kJ per mole of atoms

a = 5.5881 Å, b = 5.5881 Å, c = 3.8970 Å
α = 90.00°, β = 90.00°, γ = 90.00°
Closest atoms and distances in Å follow each position.
Space group P4/mmm (No. 123)
Symmetry-distinct sites (fractional):
Nb (0.0000, 0.0000, 0.0000) [1 per cell]  2 N 1.95
I (0.0000, 0.5000, 0.0000) [2 per cell]  2 Nb 2.79
N (0.0000, 0.0000, 0.5000) [1 per cell]  2 Nb 1.95
F (0.5000, 0.5000, 0.5000) [1 per cell]  8 I 3.41

---

(10)
Computed, not measured: crystalline NbIN2F at its relaxed geometry at the GGA-PBE level of DFT.

Summary:
mass density	5.78	g cm⁻³
polymorph energy (0 for the lowest one)	1555	meV/atom
magnetic moment	0.534	μB per atom
formation energy (no corrections)	146.50	kJ per mole of atoms

a = 4.2435 Å, b = 4.2435 Å, c = 4.2549 Å
α = 90.00°, β = 90.00°, γ = 90.00°
Closest atoms and distances in Å follow each position.
Space group P4/mmm (No. 123)
Symmetry-distinct sites (fractional):
Nb (0.0000, 0.0000, 0.0000) [1 per cell]  4 F 3.00, 8 N 3.00
I (0.5000, 0.5000, 0.5000) [1 per cell]  4 N 2.12, 2 F 2.13
N (0.0000, 0.5000, 0.5000) [2 per cell]  2 I 2.12
F (0.5000, 0.5000, 0.0000) [1 per cell]  2 I 2.13

---

(11)
Computed, not measured: crystalline NbIN2F at its relaxed geometry at the GGA-PBE level of DFT.

Summary:
mass density	4.76	g cm⁻³
polymorph energy (0 for the lowest one)	289	meV/atom
magnetic moment	0.209	μB per atom
formation energy (no corrections)	24.41	kJ per mole of atoms

a = 3.9845 Å, b = 3.9845 Å, c = 5.8651 Å
α = 90.00°, β = 90.00°, γ = 90.00°
Closest atoms and distances in Å follow each position.
Space group P4/mmm (No. 123)
Symmetry-distinct sites (fractional):
Nb (0.0000, 0.0000, 0.0000) [1 per cell]  4 N 1.99
I (0.0000, 0.0000, 0.5000) [1 per cell]  4 F 2.82, 2 Nb 2.93
N (0.0000, 0.5000, 0.0000) [2 per cell]  2 Nb 1.99
F (0.5000, 0.5000, 0.5000) [1 per cell]  4 I 2.82

---

(12)
Computed, not measured: crystalline NbI2NF at its relaxed geometry at the GGA-PBE level of DFT.

Summary:
mass density	6.09	g cm⁻³
polymorph energy (0 for the lowest one)	1388	meV/atom
magnetic moment	0.366	μB per atom
formation energy (no corrections)	124.79	kJ per mole of atoms

a = 5.4102 Å, b = 5.4102 Å, c = 3.5364 Å
α = 90.00°, β = 90.00°, γ = 90.00°
Closest atoms and distances in Å follow each position.
Space group P4/mmm (No. 123)
Symmetry-distinct sites (fractional):
Nb (0.0000, 0.0000, 0.0000) [1 per cell]  8 I 3.23, 2 Nb 3.54
I (0.0000, 0.5000, 0.5000) [2 per cell]  2 F 2.71
N (0.5000, 0.5000, 0.0000) [1 per cell]  2 F 1.77
F (0.5000, 0.5000, 0.5000) [1 per cell]  2 N 1.77

---

(13)
Computed, not measured: crystalline NbIN2F at its relaxed geometry at the GGA-PBE level of DFT.

Summary:
mass density	5.98	g cm⁻³
polymorph energy (0 for the lowest one)	0	meV/atom
magnetic moment	0.000	μB per atom
formation energy (no corrections)	-3.51	kJ per mole of atoms

a = 4.1971 Å, b = 4.1971 Å, c = 4.2094 Å
α = 90.00°, β = 90.00°, γ = 90.00°
Closest atoms and distances in Å follow each position.
Space group P4/mmm (No. 123)
Symmetry-distinct sites (fractional):
Nb (0.0000, 0.0000, 0.0000) [1 per cell]  4 N 2.10, 2 F 2.10
I (0.5000, 0.5000, 0.5000) [1 per cell]  4 F 2.97, 8 N 2.97
N (0.0000, 0.5000, 0.0000) [2 per cell]  2 Nb 2.10
F (0.0000, 0.0000, 0.5000) [1 per cell]  2 Nb 2.10

---

(14)
Computed, not measured: crystalline NbIN2F at its relaxed geometry at the GGA-PBE level of DFT.

Summary:
mass density	5.89	g cm⁻³
polymorph energy (0 for the lowest one)	1988	meV/atom
magnetic moment	0.081	μB per atom
formation energy (no corrections)	188.31	kJ per mole of atoms

a = 4.3004 Å, b = 4.3004 Å, c = 4.0679 Å
α = 90.00°, β = 90.00°, γ = 90.00°
Closest atoms and distances in Å follow each position.
Space group P4/mmm (No. 123)
Symmetry-distinct sites (fractional):
Nb (0.0000, 0.0000, 0.0000) [1 per cell]  8 N 2.96, 4 I 3.04
I (0.5000, 0.5000, 0.0000) [1 per cell]  2 F 2.03
N (0.0000, 0.5000, 0.5000) [2 per cell]  2 F 2.15
F (0.5000, 0.5000, 0.5000) [1 per cell]  2 I 2.03, 4 N 2.15